A relaxed KCaP3 crystal, computed with PBE.

POSCAR file:
```
KCaP3
1.0
5.324 0.000 0.000
0.000 5.324 0.000
0.000 0.000 5.324
P Ca K
3 1 1
direct
0.000 0.500 0.000
0.000 0.000 0.500
0.500 0.000 0.000
0.000 0.000 0.000
0.500 0.500 0.500
```

Summary:
Relative energy among the computed polymorphs: 0 meV/atom
Space group: Pm-3m (221)
Total moment: 0.00 Bohr magnetons per cell
Formation energy from the elements: 0.51 eV per atom

A relaxed NiPd crystal, computed with PBE.

POSCAR file:
```
NiPd
1.0
4.521 0.000 0.116
0.000 2.707 0.000
-2.310 0.000 8.641
Ni Pd
4 4
direct
0.371 0.000 0.636
0.629 0.000 0.364
0.371 0.500 0.136
0.629 0.500 0.864
0.148 0.000 0.883
0.852 0.000 0.117
0.148 0.500 0.383
0.852 0.500 0.617
```

Summary:
Space group: C2/m (12)
Total moment: 4.13 Bohr magnetons per cell
Formation energy from the elements: 0.03 eV per atom

A relaxed Ga2CoB crystal, computed with PBE.

POSCAR file:
```
Ga2CoB
1.0
7.614 0.000 0.000
0.000 7.614 0.000
3.807 3.807 1.954
B Co Ga
2 2 4
direct
0.500 0.500 0.000
0.250 0.750 0.500
0.000 0.000 0.000
0.750 0.250 0.500
0.493 0.125 0.250
0.257 0.625 0.250
0.375 0.507 0.750
0.875 0.743 0.750
```

Summary:
Space group: I-42d (122)
Total moment: 0.96 Bohr magnetons per cell
Formation energy from the elements: 0.32 eV per atom

A relaxed BaNaSb crystal, computed with PBE.

POSCAR file:
```
BaNaSb
1.0
-2.021 -1.407 -4.047
4.273 -0.330 -2.019
-0.798 -3.800 4.492
Sb Ba Na
1 1 1
direct
0.961 0.961 0.922
0.606 0.606 0.211
0.283 0.283 0.567
```

Summary:
E: -3.0484 eV per atom
Space group: I4mm (107)
Total moment: 0.00 Bohr magnetons per cell

- Which value of total moment does entry 3 give?
  0.96 Bohr magnetons per cell

Copy entry 3 word for word.
A relaxed Ga2CoB crystal, computed with PBE.

POSCAR file:
```
Ga2CoB
1.0
7.614 0.000 0.000
0.000 7.614 0.000
3.807 3.807 1.954
B Co Ga
2 2 4
direct
0.500 0.500 0.000
0.250 0.750 0.500
0.000 0.000 0.000
0.750 0.250 0.500
0.493 0.125 0.250
0.257 0.625 0.250
0.375 0.507 0.750
0.875 0.743 0.750
```

Summary:
Space group: I-42d (122)
Total moment: 0.96 Bohr magnetons per cell
Formation energy from the elements: 0.32 eV per atom